Density functional theory data (GGA-PBE) for a relaxed MnBe3 crystal.

V: 34 Å³ per cell
crystal system: cubic
calculated total energy: -5.273 eV/atom
formation energy from the elements: -0.186 eV/atom

```
data_MnBe3
_chemical_formula_sum 'Mn1 Be3'
_symmetry_space_group_name_H-M 'P m -3 m'
_symmetry_Int_Tables_number 221
_symmetry_space_group_name_Hall '-P 4 2 3'
_cell_length_a 3.245
_cell_length_b 3.245
_cell_length_c 3.245
_cell_angle_alpha 90.00
_cell_angle_beta 90.00
_cell_angle_gamma 90.00
loop_
_atom_site_label
_atom_site_type_symbol
_atom_site_fract_x
_atom_site_fract_y
_atom_site_fract_z
Mn1 Mn 0.000 0.000 0.000
Be1 Be 0.000 0.500 0.500
```


Density functional theory data (GGA-PBE) for a relaxed CsSiHPb2 crystal.

V: 217 Å³ per cell
crystal system: tetragonal
calculated total energy: -2.810 eV/atom

```
data_CsSiHPb2
_chemical_formula_sum 'Cs1 Si1 H1 Pb2'
_symmetry_space_group_name_H-M 'P 4/m m m'
_symmetry_Int_Tables_number 123
_symmetry_space_group_name_Hall '-P 4 2'
_cell_length_a 5.325
_cell_length_b 5.325
_cell_length_c 7.637
_cell_angle_alpha 90.00
_cell_angle_beta 90.00
_cell_angle_gamma 90.00
loop_
_atom_site_label
_atom_site_type_symbol
_atom_site_fract_x
_atom_site_fract_y
_atom_site_fract_z
Cs1 Cs 0.000 0.000 0.000
Si1 Si 0.000 0.000 0.500
H1 H 0.500 0.500 0.000
Pb1 Pb 0.000 0.500 0.500
```


Density functional theory data (GGA-PBE) for a relaxed SrSbP3 crystal.

energy relative to the elements, uncorrected: 1344 meV per atom
V: 154 Å³ per cell
crystal system: cubic
calculated total energy: -3.063 eV/atom
energy relative to the lowest polymorph listed for this composition: 1053 meV/atom

```
data_SrSbP3
_chemical_formula_sum 'Sr1 Sb1 P3'
_symmetry_space_group_name_H-M 'P m -3 m'
_symmetry_Int_Tables_number 221
_symmetry_space_group_name_Hall '-P 4 2 3'
_cell_length_a 5.359
_cell_length_b 5.359
_cell_length_c 5.359
_cell_angle_alpha 90.00
_cell_angle_beta 90.00
_cell_angle_gamma 90.00
loop_
_atom_site_label
_atom_site_type_symbol
_atom_site_fract_x
_atom_site_fract_y
_atom_site_fract_z
Sr1 Sr 0.000 0.000 0.000
Sb1 Sb 0.500 0.500 0.500
P1 P 0.000 0.000 0.500
```


Density functional theory data (GGA-PBE) for a relaxed Mg2IrW crystal.

V: 65 Å³ per cell
crystal system: monoclinic
calculated total energy: -6.119 eV/atom
formation energy from the elements: 0.131 eV/atom

```
data_Mg2IrW
_chemical_formula_sum 'Mg2 Ir1 W1'
_symmetry_space_group_name_H-M 'P 1 2/m 1'
_symmetry_Int_Tables_number 10
_symmetry_space_group_name_Hall '-P 2y'
_cell_length_a 2.818
_cell_length_b 4.544
_cell_length_c 5.194
_cell_angle_alpha 90.00
_cell_angle_beta 101.79
_cell_angle_gamma 90.00
loop_
_atom_site_label
_atom_site_type_symbol
_atom_site_fract_x
_atom_site_fract_y
_atom_site_fract_z
Mg1 Mg 0.207 0.000 0.257
Ir1 Ir 0.000 0.500 0.500
W1 W 0.500 0.500 0.000
```


The following size of the total moment values (in μB/atom) correspond, in order, to the records above: 0.22 0.00 0.00 0.00.